a:
# Dy2Tm3 (PBE, optimized geometry)
data_Dy2Tm3
_space_group_name_H-M_alt 'F d d 2'
_space_group_IT_number 43
_space_group_name_Hall 'F 2 -2d'
_cell_length_a 14.5139
_cell_length_b 24.0914
_cell_length_c 3.5746
_cell_angle_alpha 90.00
_cell_angle_beta 90.00
_cell_angle_gamma 90.00
loop_
_atom_site_label
_atom_site_type_symbol
_atom_site_fract_x
_atom_site_fract_y
_atom_site_fract_z
Dy1 Dy 0.0671 0.2116 0.0000
Tm1 Tm 0.0000 0.0000 0.1973
Tm2 Tm 0.1098 0.3496 0.8958
# * spin magnetization: 0.00 μB per atom
# * N(E_F): 1.5004 states/eV per atom

=====

b:
# Dy2Tm3 (PBE, optimized geometry)
data_Dy2Tm3
_space_group_name_H-M_alt 'C 1 2/c 1'
_space_group_IT_number 15
_space_group_name_Hall '-C 2yc'
_cell_length_a 11.6825
_cell_length_b 6.1957
_cell_length_c 9.0602
_cell_angle_alpha 90.00
_cell_angle_beta 109.98
_cell_angle_gamma 90.00
loop_
_atom_site_label
_atom_site_type_symbol
_atom_site_fract_x
_atom_site_fract_y
_atom_site_fract_z
Dy1 Dy 0.0995 0.1673 0.4497
Tm1 Tm 0.0000 0.3345 0.7500
Tm2 Tm 0.2010 0.3341 0.1504
# * spin magnetization: 0.00 μB per atom
# * N(E_F): 1.6463 states/eV per atom

=====

Which one sits at the top of the stability order? b does.

=====

a:
# Dy5Tm7 (PBE, optimized geometry)
data_Dy5Tm7
_space_group_name_H-M_alt 'C 1 2/m 1'
_space_group_IT_number 12
_space_group_name_Hall '-C 2y'
_cell_length_a 9.5939
_cell_length_b 5.5298
_cell_length_c 14.4707
_cell_angle_alpha 90.00
_cell_angle_beta 102.75
_cell_angle_gamma 90.00
loop_
_atom_site_label
_atom_site_type_symbol
_atom_site_fract_x
_atom_site_fract_y
_atom_site_fract_z
Dy1 Dy 0.0000 0.0000 0.0000
Dy2 Dy 0.1012 0.5000 0.8060
Dy3 Dy 0.1461 0.0000 0.4382
Tm1 Tm 0.0000 0.5000 0.5000
Tm2 Tm 0.0721 0.0000 0.2132
Tm3 Tm 0.1930 0.5000 0.0781
Tm4 Tm 0.2238 0.0000 0.6734
# * spin magnetization: 0.00 μB per atom
# * N(E_F): 1.6364 states/eV per atom

=====

b:
# Dy5Tm7 (PBE, optimized geometry)
data_Dy5Tm7
_space_group_name_H-M_alt 'C 1 2/m 1'
_space_group_IT_number 12
_space_group_name_Hall '-C 2y'
_cell_length_a 18.2728
_cell_length_b 3.5173
_cell_length_c 12.8860
_cell_angle_alpha 90.00
_cell_angle_beta 118.22
_cell_angle_gamma 90.00
loop_
_atom_site_label
_atom_site_type_symbol
_atom_site_fract_x
_atom_site_fract_y
_atom_site_fract_z
Dy1 Dy 0.0000 0.0000 0.0000
Dy2 Dy 0.1662 0.0000 0.4991
Dy3 Dy 0.1945 0.5000 0.7505
Tm1 Tm 0.0000 0.5000 0.5000
Tm2 Tm 0.0277 0.0000 0.7502
Tm3 Tm 0.1385 0.5000 0.2494
Tm4 Tm 0.1662 0.5000 0.9987
# * spin magnetization: 0.00 μB per atom
# * N(E_F): 1.3948 states/eV per atom

=====

Which one sits at the top of the stability order? b does.

=====

a:
# DyTm3 (PBE, optimized geometry)
data_DyTm3
_space_group_name_H-M_alt 'P m m 2'
_space_group_IT_number 25
_space_group_name_Hall 'P 2 -2'
_cell_length_a 3.5734
_cell_length_b 5.5314
_cell_length_c 6.1880
_cell_angle_alpha 90.00
_cell_angle_beta 90.00
_cell_angle_gamma 90.00
loop_
_atom_site_label
_atom_site_type_symbol
_atom_site_fract_x
_atom_site_fract_y
_atom_site_fract_z
Dy1 Dy 0.0000 0.0000 0.0000
Tm1 Tm 0.0000 0.5000 0.3346
Tm2 Tm 0.5000 0.0000 0.5010
Tm3 Tm 0.5000 0.5000 0.8338
# * spin magnetization: 0.00 μB per atom
# * N(E_F): 1.5846 states/eV per atom

=====

b:
# DyTm3 (PBE, optimized geometry)
data_DyTm3
_space_group_name_H-M_alt 'P m -3 m'
_space_group_IT_number 221
_space_group_name_Hall '-P 4 2 3'
_cell_length_a 4.9426
_cell_length_b 4.9426
_cell_length_c 4.9426
_cell_angle_alpha 90.00
_cell_angle_beta 90.00
_cell_angle_gamma 90.00
loop_
_atom_site_label
_atom_site_type_symbol
_atom_site_fract_x
_atom_site_fract_y
_atom_site_fract_z
Dy1 Dy 0.0000 0.0000 0.0000
Tm1 Tm 0.0000 0.5000 0.5000
# * spin magnetization: 0.00 μB per atom
# * N(E_F): 1.4341 states/eV per atom

=====

c:
# DyTm3 (PBE, optimized geometry)
data_DyTm3
_space_group_name_H-M_alt 'F m -3 m'
_space_group_IT_number 225
_space_group_name_Hall '-F 4 2 3'
_cell_length_a 7.8960
_cell_length_b 7.8960
_cell_length_c 7.8960
_cell_angle_alpha 90.00
_cell_angle_beta 90.00
_cell_angle_gamma 90.00
loop_
_atom_site_label
_atom_site_type_symbol
_atom_site_fract_x
_atom_site_fract_y
_atom_site_fract_z
Dy1 Dy 0.0000 0.0000 0.0000
Tm1 Tm 0.0000 0.0000 0.5000
Tm2 Tm 0.2500 0.2500 0.2500
# * spin magnetization: 0.00 μB per atom
# * N(E_F): 2.4763 states/eV per atom

=====

Which one sits at the top of the stability order? a does.

=====

a:
# Dy6Tm (PBE, optimized geometry)
data_Dy6Tm
_space_group_name_H-M_alt 'I m -3 m'
_space_group_IT_number 229
_space_group_name_Hall '-I 4 2 3'
_cell_length_a 7.9903
_cell_length_b 7.9903
_cell_length_c 7.9903
_cell_angle_alpha 90.00
_cell_angle_beta 90.00
_cell_angle_gamma 90.00
loop_
_atom_site_label
_atom_site_type_symbol
_atom_site_fract_x
_atom_site_fract_y
_atom_site_fract_z
Dy1 Dy 0.0000 0.2500 0.5000
Tm1 Tm 0.0000 0.0000 0.0000
# * spin magnetization: 0.00 μB per atom
# * N(E_F): 0.9141 states/eV per atom

=====

b:
# Dy6Tm (PBE, optimized geometry)
data_Dy6Tm
_space_group_name_H-M_alt 'P 4/n b m'
_space_group_IT_number 125
_cell_length_a 6.4365
_cell_length_b 6.4365
_cell_length_c 10.9583
_cell_angle_alpha 90.00
_cell_angle_beta 90.00
_cell_angle_gamma 90.00
loop_
_space_group_symop_operation_xyz
'x,y,z'
'-x,-y,-z'
'-y+1/2,x,z'
'y+1/2,-x,-z'
'-x+1/2,-y+1/2,z'
'x+1/2,y+1/2,-z'
'y,-x+1/2,z'
'-y,x+1/2,-z'
'x,-y+1/2,-z'
'-x,y+1/2,z'
'-y+1/2,-x+1/2,-z'
'y+1/2,x+1/2,z'
'-x+1/2,y,-z'
'x+1/2,-y,z'
'y,x,-z'
'-y,-x,z'
loop_
_atom_site_label
_atom_site_type_symbol
_atom_site_fract_x
_atom_site_fract_y
_atom_site_fract_z
Dy1 Dy 0.0819 0.5819 0.1383
Dy2 Dy 0.2500 0.2500 0.3610
Tm1 Tm 0.2500 0.7500 0.5000
# * spin magnetization: 0.00 μB per atom
# * N(E_F): 1.3204 states/eV per atom

=====

Which one sits at the top of the stability order? b does.

=====

a:
# Dy8Tm3 (PBE, optimized geometry)
data_Dy8Tm3
_space_group_name_H-M_alt 'R -3'
_space_group_IT_number 148
_space_group_name_Hall '-R 3'
_cell_length_a 12.2770
_cell_length_b 12.2770
_cell_length_c 8.4157
_cell_angle_alpha 90.00
_cell_angle_beta 90.00
_cell_angle_gamma 120.00
loop_
_atom_site_label
_atom_site_type_symbol
_atom_site_fract_x
_atom_site_fract_y
_atom_site_fract_z
Dy1 Dy 0.0000 0.0000 0.2480
Dy2 Dy 0.0563 0.4531 0.1345
Tm1 Tm 0.0000 0.5000 0.5000
# * spin magnetization: 0.00 μB per atom
# * N(E_F): 1.1825 states/eV per atom

=====

b:
# Dy8Tm3 (PBE, optimized geometry)
data_Dy8Tm3
_space_group_name_H-M_alt 'R -3'
_space_group_IT_number 148
_space_group_name_Hall '-R 3'
_cell_length_a 9.5256
_cell_length_b 9.5256
_cell_length_c 13.5440
_cell_angle_alpha 90.00
_cell_angle_beta 90.00
_cell_angle_gamma 120.00
loop_
_atom_site_label
_atom_site_type_symbol
_atom_site_fract_x
_atom_site_fract_y
_atom_site_fract_z
Dy1 Dy 0.0000 0.0000 0.1122
Dy2 Dy 0.0417 0.8085 0.6130
Tm1 Tm 0.0000 0.5000 0.5000
# * spin magnetization: 0.00 μB per atom
# * N(E_F): 1.0089 states/eV per atom

=====

Which one sits at the top of the stability order? a does.

=====

a:
# Dy2Tm13 (PBE, optimized geometry)
data_Dy2Tm13
_space_group_name_H-M_alt 'R -3 m'
_space_group_IT_number 166
_space_group_name_Hall '-R 3 2"'
_cell_length_a 8.7773
_cell_length_b 8.7773
_cell_length_c 23.3583
_cell_angle_alpha 90.00
_cell_angle_beta 90.00
_cell_angle_gamma 120.00
loop_
_atom_site_label
_atom_site_type_symbol
_atom_site_fract_x
_atom_site_fract_y
_atom_site_fract_z
Dy1 Dy 0.0000 0.0000 0.2407
Tm1 Tm 0.0000 0.0000 0.5000
Tm2 Tm 0.0899 0.5450 0.3027
Tm3 Tm 0.0936 0.5468 0.5599
# * spin magnetization: 0.00 μB per atom
# * N(E_F): 1.2727 states/eV per atom

=====

b:
# Dy2Tm13 (PBE, optimized geometry)
data_Dy2Tm13
_space_group_name_H-M_alt 'P -1'
_space_group_IT_number 2
_space_group_name_Hall '-P 1'
_cell_length_a 6.4810
_cell_length_b 8.5865
_cell_length_c 8.8461
_cell_angle_alpha 69.18
_cell_angle_beta 84.49
_cell_angle_gamma 80.90
loop_
_atom_site_label
_atom_site_type_symbol
_atom_site_fract_x
_atom_site_fract_y
_atom_site_fract_z
Dy1 Dy 0.1984 0.3048 0.3970
Tm1 Tm 0.0000 0.5000 0.0000
Tm2 Tm 0.0957 0.9269 0.6917
Tm3 Tm 0.1353 0.6968 0.2666
Tm4 Tm 0.2377 0.0759 0.9755
Tm5 Tm 0.3337 0.4988 0.6676
Tm6 Tm 0.4293 0.9245 0.3588
Tm7 Tm 0.4648 0.6966 0.9340
# * spin magnetization: 0.00 μB per atom
# * N(E_F): 2.0465 states/eV per atom

=====

Which one sits at the top of the stability order? b does.

=====

a:
# Dy3Tm2 (PBE, optimized geometry)
data_Dy3Tm2
_space_group_name_H-M_alt 'I b a m'
_space_group_IT_number 72
_space_group_name_Hall '-I 2 2c'
_cell_length_a 6.5546
_cell_length_b 15.6522
_cell_length_c 6.0853
_cell_angle_alpha 90.00
_cell_angle_beta 90.00
_cell_angle_gamma 90.00
loop_
_atom_site_label
_atom_site_type_symbol
_atom_site_fract_x
_atom_site_fract_y
_atom_site_fract_z
Dy1 Dy 0.0000 0.0000 0.2500
Dy2 Dy 0.1149 0.4061 0.0000
Tm1 Tm 0.1454 0.1920 0.0000
# * spin magnetization: 0.00 μB per atom
# * N(E_F): 1.3406 states/eV per atom

=====

b:
# Dy3Tm2 (PBE, optimized geometry)
data_Dy3Tm2
_space_group_name_H-M_alt 'F d d 2'
_space_group_IT_number 43
_space_group_name_Hall 'F 2 -2d'
_cell_length_a 11.5610
_cell_length_b 16.7045
_cell_length_c 6.4102
_cell_angle_alpha 90.00
_cell_angle_beta 90.00
_cell_angle_gamma 90.00
loop_
_atom_site_label
_atom_site_type_symbol
_atom_site_fract_x
_atom_site_fract_y
_atom_site_fract_z
Dy1 Dy 0.0000 0.0000 0.0000
Dy2 Dy 0.0514 0.1020 0.4517
Tm1 Tm 0.0371 0.2004 0.9213
# * spin magnetization: 0.00 μB per atom
# * N(E_F): 1.1892 states/eV per atom

=====

Which one sits at the top of the stability order? b does.

=====

a:
# Dy7YTm3 (PBE, optimized geometry)
data_Dy7YTm3
_space_group_name_H-M_alt 'C 1 2/m 1'
_space_group_IT_number 12
_space_group_name_Hall '-C 2y'
_cell_length_a 12.5128
_cell_length_b 11.0990
_cell_length_c 5.7470
_cell_angle_alpha 90.00
_cell_angle_beta 117.22
_cell_angle_gamma 90.00
loop_
_atom_site_label
_atom_site_type_symbol
_atom_site_fract_x
_atom_site_fract_y
_atom_site_fract_z
Dy1 Dy 0.0000 0.0000 0.0000
Dy2 Dy 0.1991 0.2987 0.6989
Dy3 Dy 0.2066 0.5000 0.2050
Y1 Y 0.0000 0.0000 0.5000
Tm1 Tm 0.0000 0.2940 0.0000
Tm2 Tm 0.0000 0.5000 0.5000
# * spin magnetization: 0.03 μB per atom
# * N(E_F): 1.4456 states/eV per atom

=====

b:
# Dy7YTm3 (PBE, optimized geometry)
data_Dy7YTm3
_space_group_name_H-M_alt 'P -1'
_space_group_IT_number 2
_space_group_name_Hall '-P 1'
_cell_length_a 6.4522
_cell_length_b 6.5865
_cell_length_c 8.5408
_cell_angle_alpha 99.25
_cell_angle_beta 99.09
_cell_angle_gamma 95.17
loop_
_atom_site_label
_atom_site_type_symbol
_atom_site_fract_x
_atom_site_fract_y
_atom_site_fract_z
Dy1 Dy 0.0000 0.0000 0.0000
Dy2 Dy 0.0545 0.7086 0.6405
Dy3 Dy 0.2261 0.2195 0.7130
Dy4 Dy 0.4866 0.7390 0.9120
Y1 Y 0.0000 0.5000 0.0000
Tm1 Tm 0.3048 0.9327 0.3408
Tm2 Tm 0.5000 0.5000 0.5000
# * spin magnetization: 0.00 μB per atom
# * N(E_F): 1.7068 states/eV per atom

=====

Which one sits at the top of the stability order? b does.

=====

a:
# DyY5Tm4 (PBE, optimized geometry)
data_DyY5Tm4
_space_group_name_H-M_alt 'P 1'
_space_group_IT_number 1
_space_group_name_Hall 'P 1'
_cell_length_a 5.4078
_cell_length_b 7.0075
_cell_length_c 8.7263
_cell_angle_alpha 89.95
_cell_angle_beta 72.04
_cell_angle_gamma 89.96
loop_
_atom_site_label
_atom_site_type_symbol
_atom_site_fract_x
_atom_site_fract_y
_atom_site_fract_z
Dy1 Dy 0.0000 0.0000 0.0000
Y1 Y 0.1997 0.4968 0.6010
Y2 Y 0.3885 0.7480 0.2220
Y3 Y 0.6096 0.7491 0.7812
Y4 Y 0.7989 0.0001 0.4016
Y5 Y 0.9982 0.4968 0.0032
Tm1 Tm 0.1986 0.0002 0.6033
Tm2 Tm 0.3886 0.2493 0.2217
Tm3 Tm 0.6096 0.2474 0.7815
Tm4 Tm 0.7992 0.4966 0.4008
# * spin magnetization: 0.00 μB per atom
# * N(E_F): 1.8486 states/eV per atom

=====

b:
# DyY5Tm4 (PBE, optimized geometry)
data_DyY5Tm4
_space_group_name_H-M_alt 'I 4'
_space_group_IT_number 79
_space_group_name_Hall 'I 4'
_cell_length_a 10.1404
_cell_length_b 10.1404
_cell_length_c 6.2875
_cell_angle_alpha 90.00
_cell_angle_beta 90.00
_cell_angle_gamma 90.00
loop_
_atom_site_label
_atom_site_type_symbol
_atom_site_fract_x
_atom_site_fract_y
_atom_site_fract_z
Dy1 Dy 0.0000 0.0000 0.0000
Y1 Y 0.0000 0.0000 0.4560
Y2 Y 0.1452 0.7652 0.7311
Tm1 Tm 0.0502 0.6508 0.2303
# * spin magnetization: 0.00 μB per atom
# * N(E_F): 1.4497 states/eV per atom

=====

Which one sits at the top of the stability order? a does.

=====

a:
# Dy6Y4Tm (PBE, optimized geometry)
data_Dy6Y4Tm
_space_group_name_H-M_alt 'I -4 2 m'
_space_group_IT_number 121
_space_group_name_Hall 'I -4 2'
_cell_length_a 6.5494
_cell_length_b 6.5494
_cell_length_c 17.1001
_cell_angle_alpha 90.00
_cell_angle_beta 90.00
_cell_angle_gamma 90.00
loop_
_atom_site_label
_atom_site_type_symbol
_atom_site_fract_x
_atom_site_fract_y
_atom_site_fract_z
Dy1 Dy 0.0000 0.5000 0.0000
Dy2 Dy 0.1854 0.1854 0.1712
Y1 Y 0.1795 0.1795 0.3669
Tm1 Tm 0.0000 0.0000 0.0000
# * spin magnetization: 0.00 μB per atom
# * N(E_F): 1.2590 states/eV per atom

=====

b:
# Dy6Y4Tm (PBE, optimized geometry)
data_Dy6Y4Tm
_space_group_name_H-M_alt 'I -4 2 m'
_space_group_IT_number 121
_space_group_name_Hall 'I -4 2'
_cell_length_a 6.5297
_cell_length_b 6.5297
_cell_length_c 17.0900
_cell_angle_alpha 90.00
_cell_angle_beta 90.00
_cell_angle_gamma 90.00
loop_
_atom_site_label
_atom_site_type_symbol
_atom_site_fract_x
_atom_site_fract_y
_atom_site_fract_z
Dy1 Dy 0.0000 0.5000 0.0000
Dy2 Dy 0.1786 0.1786 0.1298
Y1 Y 0.1867 0.1867 0.3258
Tm1 Tm 0.0000 0.0000 0.5000
# * spin magnetization: 0.00 μB per atom
# * N(E_F): 1.2954 states/eV per atom

=====

Which one sits at the top of the stability order? b does.